# Tb5CeSm2Y, relaxed, DFT GGA-PBE
data_Tb5CeSm2Y
_cell_length_a 9.933
_cell_length_b 9.933
_cell_length_c 9.933
_cell_angle_alpha 128.80
_cell_angle_beta 128.80
_cell_angle_gamma 75.33
_space_group_name_H-M_alt 'P 1'
_space_group_IT_number 1
_space_group_name_Hall 'P 1'
loop_
_atom_site_label
_atom_site_type_symbol
_atom_site_fract_x
_atom_site_fract_y
_atom_site_fract_z
Tb1 Tb 0.000 0.000 0.000
Tb2 Tb 0.059 0.559 0.899
Tb3 Tb 0.160 0.059 0.500
Tb4 Tb 0.340 0.840 0.899
Tb5 Tb 0.441 0.340 0.500
Tb6 Tb 0.500 0.500 0.000
Tb7 Tb 0.559 0.660 0.500
Tb8 Tb 0.660 0.160 0.101
Tb9 Tb 0.840 0.941 0.500
Tb10 Tb 0.941 0.441 0.101
Ce1 Ce 0.250 0.750 0.500
Ce2 Ce 0.750 0.250 0.500
Sm1 Sm 0.122 0.378 0.500
Sm2 Sm 0.378 0.878 0.255
Sm3 Sm 0.622 0.122 0.745
Sm4 Sm 0.878 0.622 0.500
Y1 Y 0.250 0.250 0.000
Y2 Y 0.750 0.750 0.000
# total DFT energy (no corrections)	-4.73	eV/atom
# calculated volume	579	Å³ per cell
# space group	No. 140
# DFT formation energy	269	meV/atom
# density of states at the Fermi level	31.708	states/eV/cell


# Ce2SmTc9, relaxed, DFT GGA-PBE
data_Ce2SmTc9
_cell_length_a 5.129
_cell_length_b 5.406
_cell_length_c 9.192
_cell_angle_alpha 90.09
_cell_angle_beta 104.85
_cell_angle_gamma 115.43
_space_group_name_H-M_alt 'P 1'
_space_group_IT_number 1
_space_group_name_Hall 'P 1'
loop_
_atom_site_label
_atom_site_type_symbol
_atom_site_fract_x
_atom_site_fract_y
_atom_site_fract_z
Ce1 Ce 0.211 0.361 0.070
Ce2 Ce 0.789 0.639 0.930
Sm1 Sm 0.500 0.500 0.500
Tc1 Tc 0.157 0.577 0.736
Tc2 Tc 0.159 0.099 0.750
Tc3 Tc 0.197 0.876 0.512
Tc4 Tc 0.334 0.916 0.247
Tc5 Tc 0.500 0.000 0.000
Tc6 Tc 0.666 0.084 0.753
Tc7 Tc 0.803 0.124 0.488
Tc8 Tc 0.841 0.901 0.250
Tc9 Tc 0.843 0.423 0.264
# total DFT energy (no corrections)	-9.14	eV/atom
# calculated volume	221	Å³ per cell
# space group	No. 2
# DFT formation energy	14	meV/atom
# density of states at the Fermi level	14.800	states/eV/cell


# CeSm2Tc, relaxed, DFT GGA-PBE
data_CeSm2Tc
_cell_length_a 3.503
_cell_length_b 3.503
_cell_length_c 8.831
_cell_angle_alpha 90.00
_cell_angle_beta 90.00
_cell_angle_gamma 90.00
_space_group_name_H-M_alt 'P 1'
_space_group_IT_number 1
_space_group_name_Hall 'P 1'
loop_
_atom_site_label
_atom_site_type_symbol
_atom_site_fract_x
_atom_site_fract_y
_atom_site_fract_z
Ce1 Ce 0.000 0.000 0.000
Sm1 Sm 0.500 0.500 0.309
Sm2 Sm 0.500 0.500 0.691
Tc1 Tc 0.000 0.000 0.500
# total DFT energy (no corrections)	-6.27	eV/atom
# calculated volume	108	Å³ per cell
# space group	No. 123
# DFT formation energy	162	meV/atom
# density of states at the Fermi level	8.830	states/eV/cell
# excess energy over the best structure of this formula in the dataset	289.2	meV/atom


# CeSm3Tc8, relaxed, DFT GGA-PBE
data_CeSm3Tc8
_cell_length_a 9.831
_cell_length_b 9.831
_cell_length_c 9.831
_cell_angle_alpha 31.45
_cell_angle_beta 31.45
_cell_angle_gamma 31.45
_space_group_name_H-M_alt 'P 1'
_space_group_IT_number 1
_space_group_name_Hall 'P 1'
loop_
_atom_site_label
_atom_site_type_symbol
_atom_site_fract_x
_atom_site_fract_y
_atom_site_fract_z
Ce1 Ce 0.000 0.000 0.000
Sm1 Sm 0.374 0.374 0.374
Sm2 Sm 0.499 0.499 0.499
Sm3 Sm 0.875 0.875 0.875
Tc1 Tc 0.187 0.187 0.187
Tc2 Tc 0.437 0.437 0.936
Tc3 Tc 0.437 0.936 0.437
Tc4 Tc 0.439 0.937 0.937
Tc5 Tc 0.687 0.687 0.687
Tc6 Tc 0.936 0.437 0.437
Tc7 Tc 0.937 0.439 0.937
Tc8 Tc 0.937 0.937 0.439
# total DFT energy (no corrections)	-8.60	eV/atom
# calculated volume	230	Å³ per cell
# space group	No. 160
# DFT formation energy	-17	meV/atom
# density of states at the Fermi level	17.645	states/eV/cell


Please write out number 3 again, unchanged.
# CeSm2Tc, relaxed, DFT GGA-PBE
data_CeSm2Tc
_cell_length_a 3.503
_cell_length_b 3.503
_cell_length_c 8.831
_cell_angle_alpha 90.00
_cell_angle_beta 90.00
_cell_angle_gamma 90.00
_space_group_name_H-M_alt 'P 1'
_space_group_IT_number 1
_space_group_name_Hall 'P 1'
loop_
_atom_site_label
_atom_site_type_symbol
_atom_site_fract_x
_atom_site_fract_y
_atom_site_fract_z
Ce1 Ce 0.000 0.000 0.000
Sm1 Sm 0.500 0.500 0.309
Sm2 Sm 0.500 0.500 0.691
Tc1 Tc 0.000 0.000 0.500
# total DFT energy (no corrections)	-6.27	eV/atom
# calculated volume	108	Å³ per cell
# space group	No. 123
# DFT formation energy	162	meV/atom
# density of states at the Fermi level	8.830	states/eV/cell
# excess energy over the best structure of this formula in the dataset	289.2	meV/atom